Entry 1:
A plane-wave DFT calculation with GGA-PBE was carried out for a geometry-optimized V2Co structure.

Cell lengths 2.554, 2.554, 12.146 Å; angles 81.12, 81.12, 105.36 degrees
Fractional coordinates of all 6 atoms:
Co1 0.000 0.000 0.750
V1 0.339 0.339 0.411
V2 0.661 0.661 0.589
V3 0.661 0.661 0.089
V4 0.339 0.339 0.911
Co2 0.000 0.000 0.250

Output
Energy of formation, eV per formula unit: -0.22
Space-group type: No. 69
DFT total energy, eV per atom: -8.52

---

Entry 2:
A plane-wave DFT calculation with GGA-PBE was carried out for a geometry-optimized V8Co structure.

Cell lengths 2.993, 6.430, 6.430 Å; angles 86.90, 76.54, 76.54 degrees
Fractional coordinates of all 9 atoms:
V1 0.335 0.000 0.330
V2 0.330 0.670 0.670
V3 0.000 0.670 0.330
V4 0.665 0.000 0.670
V5 0.670 0.330 0.330
V6 0.665 0.670 0.000
V7 0.000 0.330 0.670
Co1 0.000 0.000 0.000
V8 0.335 0.330 0.000

Output
Energy of formation, eV per formula unit: -0.73
Space-group type: No. 139
DFT total energy, eV per atom: -8.98

---

Entry 3:
A plane-wave DFT calculation with GGA-PBE was carried out for a geometry-optimized V3Co structure.

Cell lengths 4.134, 4.134, 4.134 Å; angles 60.00, 60.00, 60.00 degrees
Fractional coordinates of all 4 atoms:
Co1 0.500 0.500 0.500
V1 0.000 0.000 0.000
V2 0.250 0.250 0.250
V3 0.750 0.750 0.750

Output
Energy of formation, eV per formula unit: -0.35
Space-group type: No. 225
DFT total energy, eV per atom: -8.70

---

Entry 4:
A plane-wave DFT calculation with GGA-PBE was carried out for a geometry-optimized V3Co structure.

Cell lengths 4.653, 4.653, 4.653 Å; angles 90.00, 90.00, 90.00 degrees
Fractional coordinates of all 8 atoms:
Co1 0.000 0.000 0.000
V1 0.000 0.500 0.750
V2 0.250 0.000 0.500
V3 0.500 0.250 0.000
Co2 0.500 0.500 0.500
V4 0.750 0.000 0.500
V5 0.000 0.500 0.250
V6 0.500 0.750 0.000

Output
Energy of formation, eV per formula unit: -0.77
Space-group type: No. 223
DFT total energy, eV per atom: -8.81

---

Entry 5:
A plane-wave DFT calculation with GGA-PBE was carried out for a geometry-optimized V3Co4 structure.

Cell lengths 4.887, 6.425, 6.425 Å; angles 113.80, 104.69, 104.69 degrees
Fractional coordinates of all 14 atoms:
Co1 0.422 0.466 0.162
Co2 0.044 0.304 0.466
V1 0.900 0.401 0.135
V2 0.501 0.266 0.401
Co3 0.500 0.000 0.000
Co4 0.000 0.000 0.000
V3 0.235 0.135 0.734
Co5 0.578 0.534 0.838
V4 0.765 0.865 0.266
V5 0.499 0.734 0.599
Co6 0.740 0.162 0.696
V6 0.100 0.599 0.865
Co7 0.956 0.696 0.534
Co8 0.260 0.838 0.304

Output
Energy of formation, eV per formula unit: -0.66
Space-group type: No. 148
DFT total energy, eV per atom: -8.06

---

Entry 6:
A plane-wave DFT calculation with GGA-PBE was carried out for a geometry-optimized VCo7 structure.

Cell lengths 4.022, 5.022, 5.022 Å; angles 120.00, 90.00, 90.00 degrees
Fractional coordinates of all 8 atoms:
Co1 0.500 0.339 0.169
Co2 0.000 0.499 0.998
Co3 0.000 0.002 0.501
Co4 0.500 0.831 0.661
Co5 0.500 0.333 0.667
Co6 0.500 0.831 0.169
V1 0.000 0.000 0.000
Co7 0.000 0.499 0.501

Output
Energy of formation, eV per formula unit: -0.39
Space-group type: No. 187
DFT total energy, eV per atom: -7.41

---

Entry 7:
A plane-wave DFT calculation with GGA-PBE was carried out for a geometry-optimized V3Co5 structure.

Cell lengths 3.584, 5.038, 5.038 Å; angles 93.16, 90.00, 90.00 degrees
Fractional coordinates of all 8 atoms:
Co1 0.000 0.000 0.500
V1 0.000 0.500 0.500
Co2 0.000 0.500 0.000
V2 0.500 0.775 0.225
Co3 0.000 0.000 0.000
Co4 0.500 0.740 0.740
Co5 0.500 0.260 0.260
V3 0.500 0.225 0.775

Output
Energy of formation, eV per formula unit: -1.07
Space-group type: No. 65
DFT total energy, eV per atom: -7.99

---

Entry 8:
A plane-wave DFT calculation with GGA-PBE was carried out for a geometry-optimized VCo2 structure.

Cell lengths 3.817, 3.817, 3.799 Å; angles 120.16, 119.93, 90.00 degrees
Fractional coordinates of all 3 atoms:
V1 0.000 0.000 0.000
Co1 0.749 0.250 0.500
Co2 0.251 0.750 0.500

Output
Energy of formation, eV per formula unit: 1.06
Space-group type: No. 12
DFT total energy, eV per atom: -7.42